No. 1
Computed, not measured: a relaxed structure of GaSbAu2 at the PBE level of DFT.

a b c (Å): 4.3793 4.3793 6.1349
angles (deg): 77.33 77.33 47.25
Atoms (fractional coordinates):
Sb  0.5000  0.5000  0.5000
Ga  0.0000  0.0000  0.0000
Au  0.2578  0.2578  0.2135
Au  0.7422  0.7422  0.7865

Spin magnetization ... 0.000 μB/cell
Relative energy among the computed polymorphs ... 2.0 kJ per mole of atoms
E_form (uncorrected) ... -0.368 eV/f.u.
Space group ... No. 12
VASP energy ... -3.518 eV per atom

=====

No. 2
Computed, not measured: a relaxed structure of GaSbAu4 at the PBE level of DFT.

a b c (Å): 5.6146 5.6146 5.6146
angles (deg): 60.00 60.00 60.00
Atoms (fractional coordinates):
Au  0.1246  0.6251  0.6251
Au  0.6251  0.6251  0.1246
Au  0.6251  0.6251  0.6251
Au  0.6251  0.1246  0.6251
Sb  0.2500  0.2500  0.2500
Ga  0.0000  0.0000  0.0000

Spin magnetization ... 0.000 μB/cell
Relative energy among the computed polymorphs ... 10.3 kJ per mole of atoms
E_form (uncorrected) ... 0.413 eV/f.u.
Space group ... No. 216
VASP energy ... -3.308 eV per atom